# 1
Er2PbN: optimized geometry, GGA-PBE.

```
Er2PbN
1.0
-1.207 -3.342 0.978
7.258 -2.437 0.629
0.137 3.828 13.249
Pb Er N
4 8 4
direct
0.250 0.421 0.624
0.750 0.079 0.124
0.750 0.579 0.376
0.250 0.921 0.876
0.250 0.831 0.538
0.250 0.390 0.218
0.750 0.610 0.782
0.750 0.669 0.038
0.750 0.169 0.462
0.750 0.110 0.718
0.250 0.890 0.282
0.250 0.331 0.962
0.750 0.968 0.587
0.250 0.532 0.087
0.250 0.032 0.413
0.750 0.468 0.913
```

Computed properties:
- formation energy from raw total energies (meV/atom) = -1012
- calculated density (g cm⁻³) = 9.5


# 2
CaAc5Pm2Nd: optimized geometry, GGA-PBE.

```
CaAc5Pm2Nd
1.0
9.968 0.000 0.000
0.000 9.968 0.000
-4.984 -4.984 7.725
Ac Pm Nd Ca
10 4 2 2
direct
0.424 0.335 0.259
0.576 0.665 0.741
0.335 0.835 0.259
0.165 0.076 0.741
0.500 0.500 0.000
0.076 0.576 0.741
0.000 0.000 0.000
0.835 0.924 0.259
0.924 0.424 0.259
0.665 0.165 0.741
0.104 0.396 0.000
0.396 0.896 0.000
0.604 0.104 0.000
0.896 0.604 0.000
0.250 0.250 0.500
0.750 0.750 0.500
0.250 0.750 0.500
0.750 0.250 0.500
```

Computed properties:
- energy relative to the elements (eV per atom) = 0.276
- calculated density (g cm⁻³) = 7.0


# 3
TlCdCuF6: optimized geometry, GGA-PBE.

```
TlCdCuF6
1.0
5.120 0.000 0.000
0.000 5.120 0.000
0.000 0.000 10.502
F Cu Tl Cd
12 2 2 2
direct
0.685 0.685 0.343
0.185 0.815 0.843
0.783 0.217 0.502
0.217 0.783 0.502
0.717 0.717 0.002
0.815 0.185 0.843
0.283 0.283 0.002
0.691 0.691 0.656
0.191 0.809 0.156
0.315 0.315 0.343
0.809 0.191 0.156
0.309 0.309 0.656
0.000 0.000 0.000
0.500 0.500 0.500
0.000 0.000 0.335
0.500 0.500 0.835
0.500 0.500 0.164
0.000 0.000 0.664
```

Computed properties:
- formation energy from raw total energies (meV/atom) = -1795
- calculated density (g cm⁻³) = 6.0


# 4
NbIrPb3: optimized geometry, GGA-PBE.

```
NbIrPb3
1.0
-0.881 -0.683 5.158
-4.485 -2.551 -1.104
2.636 -4.569 -0.154
Pb Ir Nb
3 1 1
direct
0.500 0.000 0.000
0.000 0.000 0.500
0.000 0.500 0.000
0.000 0.000 0.000
0.500 0.500 0.500
```

Computed properties:
- energy relative to the lowest polymorph listed for this composition (eV per atom) = 0.000
- energy relative to the elements (eV per atom) = 1.032
- calculated density (g cm⁻³) = 10.2